Compound: SrTeRuW2
Source: the Alexandria database
Functional: PBE-GGA
Structure: relaxed

Spin magnetization ... 2.08 μB/f.u.
Formation energy (no corrections) ... 11.412 eV/f.u.
Density of states at the Fermi level ... 6.87 states/eV per cell
Space-group type ... P4/mmm (123)
E ... -28.59 eV per cell
ΔE to the lowest computed polymorph ... 0 meV per atom

a = 4.914 Å, b = 5.726 Å, c = 4.914 Å
α = 90.00°, β = 90.00°, γ = 90.00°
Atoms (fractional coordinates):
Ru  0.500  0.500  0.500
W  0.500  0.000  0.000
W  0.000  0.000  0.500
Te  0.000  0.000  0.000
Sr  0.000  0.500  0.000


Compound: Y4ZnTe2P
Source: the Alexandria database
Functional: PBE-GGA
Structure: relaxed

Spin magnetization ... 0.00 μB/f.u.
Formation energy (no corrections) ... -9.216 eV/f.u.
Density of states at the Fermi level ... 6.06 states/eV per cell
Space-group type ... P2/m (10)
E ... -48.04 eV per cell

a = 4.123 Å, b = 7.384 Å, c = 7.405 Å
α = 108.21°, β = 90.00°, γ = 90.00°
Atoms (fractional coordinates):
Y  0.500  0.769  0.784
Y  0.000  0.251  0.774
Y  0.500  0.231  0.216
Y  0.000  0.749  0.226
Te  0.500  0.000  0.500
Te  0.000  0.500  0.500
P  0.000  0.000  0.000
Zn  0.500  0.500  0.000


Compound: SrOsPb3
Source: the Alexandria database
Functional: PBE-GGA
Structure: relaxed

Spin magnetization ... 0.00 μB/f.u.
Density of states at the Fermi level ... 7.51 states/eV per cell
Formation enthalpy at 0 K ... 0.327 eV/atom
Space-group type ... Pm-3m (221)
E ... -22.40 eV per cell
ΔE to the lowest computed polymorph ... 0 meV per atom

a = 5.384 Å, b = 5.384 Å, c = 5.384 Å
α = 90.00°, β = 90.00°, γ = 90.00°
Atoms (fractional coordinates):
Os  0.000  0.000  0.000
Pb  0.000  0.500  0.000
Pb  0.000  0.000  0.500
Pb  0.500  0.000  0.000
Sr  0.500  0.500  0.500


Compound: La4AlGe
Source: the Alexandria database
Functional: PBE-GGA
Structure: relaxed

Spin magnetization ... 0.11 μB/f.u.
Density of states at the Fermi level ... 31.72 states/eV per cell
Formation enthalpy at 0 K ... -0.386 eV/atom
Space-group type ... F-43m (216)
E ... -121.55 eV per cell

a = 10.189 Å, b = 10.189 Å, c = 10.189 Å
α = 60.00°, β = 60.00°, γ = 60.00°
Atoms (fractional coordinates):
La  0.390  0.830  0.390
La  0.390  0.390  0.390
La  0.950  0.550  0.950
La  0.550  0.550  0.950
La  0.950  0.950  0.550
La  0.830  0.390  0.390
La  0.950  0.550  0.550
La  0.187  0.813  0.187
La  0.813  0.187  0.813
La  0.550  0.950  0.950
La  0.187  0.187  0.813
La  0.390  0.390  0.830
La  0.550  0.950  0.550
La  0.813  0.187  0.187
La  0.187  0.813  0.813
La  0.813  0.813  0.187
Ge  0.606  0.606  0.182
Ge  0.606  0.606  0.606
Ge  0.182  0.606  0.606
Ge  0.606  0.182  0.606
Al  0.175  0.175  0.475
Al  0.175  0.175  0.175
Al  0.475  0.175  0.175
Al  0.175  0.475  0.175


Compound: LaSm2Tl3Se6
Source: the Alexandria database
Functional: PBE-GGA
Structure: relaxed

Spin magnetization ... 0.00 μB/f.u.
Formation energy (no corrections) ... -16.901 eV/f.u.
Density of states at the Fermi level ... 0.00 states/eV per cell
Space-group type ... C2/m (12)
E ... -59.27 eV per cell

a = 7.489 Å, b = 7.489 Å, c = 8.132 Å
α = 98.83°, β = 98.83°, γ = 119.98°
Atoms (fractional coordinates):
Tl  0.166  0.834  0.500
Tl  0.834  0.166  0.500
Tl  0.500  0.500  0.500
Se  0.070  0.410  0.210
Se  0.730  0.730  0.208
Se  0.930  0.590  0.790
Se  0.270  0.270  0.792
Se  0.590  0.930  0.790
Se  0.410  0.070  0.210
Sm  0.333  0.667  0.000
Sm  0.667  0.333  0.000
La  0.000  0.000  0.000


Compound: NaPd6Pb4
Source: the Alexandria database
Functional: PBE-GGA
Structure: relaxed

Spin magnetization ... 0.00 μB/f.u.
Density of states at the Fermi level ... 5.77 states/eV per cell
Formation enthalpy at 0 K ... -0.163 eV/atom
Space-group type ... I-42m (121)
E ... -49.10 eV per cell

a = 7.134 Å, b = 7.134 Å, c = 7.134 Å
α = 86.15°, β = 122.25°, γ = 122.25°
Atoms (fractional coordinates):
Pd  0.000  0.752  0.437
Pd  0.500  0.000  0.500
Pd  0.500  0.500  0.000
Pd  0.685  0.248  0.248
Pd  0.000  0.437  0.752
Pd  0.315  0.563  0.563
Na  0.000  0.000  0.000
Pb  0.000  0.103  0.550
Pb  0.447  0.897  0.897
Pb  0.000  0.550  0.103
Pb  0.553  0.450  0.450


Question: Which formula does entry 6 have?
Answer: NaPd6Pb4


Question: What is the formula in the second record?
Answer: Y4ZnTe2P


Question: Look up the E of the sixth one.
Answer: -49.10 eV per cell


Question: Which formula does entry 3 have?
Answer: SrOsPb3